A crystal of NbTlN3 relaxed with PBEsol, computed with meta-GGA SCAN.

## Properties
* size of the total moment: 2.9 μB/cell
* uncorrected formation energy: 2.20 eV per formula unit

Cell lengths 4.1546, 4.1546, 4.1546 Å; angles 90.00, 90.00, 90.00 degrees
Atoms (fractional coordinates):
1 Nb 0.0000 0.0000 0.0000
2 Tl 0.5000 0.5000 0.5000
3 N 0.0000 0.0000 0.5000
4 N 0.0000 0.5000 0.0000
5 N 0.5000 0.0000 0.0000

***

A crystal of HgMo2 relaxed with PBEsol, computed with meta-GGA SCAN.

## Properties
* size of the total moment: 0.0 μB/cell
* total energy: -45.27 eV/atom

Cell lengths 2.9525, 2.9525, 24.3988 Å; angles 90.00, 90.00, 90.00 degrees
Atoms (fractional coordinates):
1 Hg 0.0000 0.2500 0.3750
2 Hg 0.0000 0.7500 0.6250
3 Hg 0.5000 0.2500 0.1250
4 Hg 0.5000 0.7500 0.8750
5 Mo 0.0000 0.2500 0.7886
6 Mo 0.0000 0.2500 0.9614
7 Mo 0.0000 0.7500 0.0386
8 Mo 0.0000 0.7500 0.2114
9 Mo 0.5000 0.2500 0.5386
10 Mo 0.5000 0.2500 0.7114
11 Mo 0.5000 0.7500 0.2886
12 Mo 0.5000 0.7500 0.4614